1.
This record from the Alexandria database describes a relaxed structure of Sm5DyBi6. The functional is GGA-PBE.

Structure (CIF):
```
data_Sm5DyBi6
_chemical_formula_sum 'Sm10 Dy2 Bi12'
_symmetry_space_group_name_H-M 'C 1 2/m 1'
_symmetry_Int_Tables_number 12
_cell_length_a 7.873
_cell_length_b 13.638
_cell_length_c 7.872
_cell_angle_alpha 90.00
_cell_angle_beta 109.50
_cell_angle_gamma 90.00
loop_
_symmetry_equiv_pos_as_xyz
'x,y,z'
'-x,-y,-z'
'-x,y,-z'
'x,-y,z'
'x+1/2,y+1/2,z'
'-x+1/2,-y+1/2,-z'
'-x+1/2,y+1/2,-z'
'x+1/2,-y+1/2,z'
loop_
_atom_site_label
_atom_site_type_symbol
_atom_site_fract_x
_atom_site_fract_y
_atom_site_fract_z
Sm1 Sm 0.000 0.000 0.000
Sm2 Sm 0.000 0.166 0.500
Sm3 Sm 0.000 0.332 0.000
Dy1 Dy 0.000 0.500 0.500
Bi1 Bi 0.247 0.500 0.251
Bi2 Bi 0.248 0.335 0.748
```

The formation energy from the elements comes out at -0.91 eV/atom. The density comes out at 9.0 g cm⁻³.


2.
This record from the Alexandria database describes a relaxed structure of Sm2DyBi. The functional is GGA-PBE.

Structure (CIF):
```
data_Sm2DyBi
_chemical_formula_sum 'Sm2 Dy1 Bi1'
_symmetry_space_group_name_H-M 'P 4/m m m'
_symmetry_Int_Tables_number 123
_symmetry_space_group_name_Hall '-P 4 2'
_cell_length_a 4.279
_cell_length_b 4.279
_cell_length_c 6.829
_cell_angle_alpha 90.00
_cell_angle_beta 90.00
_cell_angle_gamma 90.00
loop_
_atom_site_label
_atom_site_type_symbol
_atom_site_fract_x
_atom_site_fract_y
_atom_site_fract_z
Sm1 Sm 0.000 0.000 0.238
Dy1 Dy 0.500 0.500 0.500
Bi1 Bi 0.500 0.500 0.000
```

The formation energy from the elements comes out at -0.38 eV/atom. For the energy above the most stable polymorph in this dataset, the calculation gives 0.029 eV/atom. The density comes out at 8.9 g cm⁻³.


3.
This record from the Alexandria database describes a relaxed structure of TbSm2Dy3Bi6. The functional is GGA-PBE.

Structure (CIF):
```
data_TbSm2Dy3Bi6
_chemical_formula_sum 'Tb2 Sm4 Dy6 Bi12'
_symmetry_space_group_name_H-M 'C 1 2/m 1'
_symmetry_Int_Tables_number 12
_cell_length_a 19.635
_cell_length_b 4.506
_cell_length_c 9.011
_cell_angle_alpha 90.00
_cell_angle_beta 103.19
_cell_angle_gamma 90.00
loop_
_symmetry_equiv_pos_as_xyz
'x,y,z'
'-x,-y,-z'
'-x,y,-z'
'x,-y,z'
'x+1/2,y+1/2,z'
'-x+1/2,-y+1/2,-z'
'-x+1/2,y+1/2,-z'
'x+1/2,-y+1/2,z'
loop_
_atom_site_label
_atom_site_type_symbol
_atom_site_fract_x
_atom_site_fract_y
_atom_site_fract_z
Tb1 Tb 0.000 0.000 0.000
Sm1 Sm 0.166 0.500 0.333
Dy1 Dy 0.000 0.000 0.500
Dy2 Dy 0.167 0.500 0.834
Bi1 Bi 0.002 0.500 0.750
Bi2 Bi 0.166 0.000 0.587
Bi3 Bi 0.167 0.000 0.080
```

The formation energy from the elements comes out at -0.88 eV/atom. The density comes out at 9.4 g cm⁻³.


4.
This record from the Alexandria database describes a relaxed structure of Tb2SmDyBi4. The functional is GGA-PBE.

Structure (CIF):
```
data_Tb2SmDyBi4
_chemical_formula_sum 'Tb2 Sm1 Dy1 Bi4'
_symmetry_space_group_name_H-M 'P 1 2/m 1'
_symmetry_Int_Tables_number 10
_cell_length_a 7.802
_cell_length_b 4.508
_cell_length_c 7.803
_cell_angle_alpha 90.00
_cell_angle_beta 109.47
_cell_angle_gamma 90.00
loop_
_symmetry_equiv_pos_as_xyz
'x,y,z'
'-x,-y,-z'
'-x,y,-z'
'x,-y,z'
loop_
_atom_site_label
_atom_site_type_symbol
_atom_site_fract_x
_atom_site_fract_y
_atom_site_fract_z
Tb1 Tb 0.000 0.000 0.000
Tb2 Tb 0.500 0.500 0.000
Sm1 Sm 0.000 0.500 0.500
Dy1 Dy 0.500 0.000 0.500
Bi1 Bi 0.252 0.500 0.249
Bi2 Bi 0.253 0.000 0.752
```

The formation energy from the elements comes out at -0.88 eV/atom. The density comes out at 9.4 g cm⁻³.


5.
This record from the Alexandria database describes a relaxed structure of TbSmDy2Bi4. The functional is GGA-PBE.

Structure (CIF):
```
data_TbSmDy2Bi4
_chemical_formula_sum 'Tb1 Sm1 Dy2 Bi4'
_symmetry_space_group_name_H-M 'P 1 2/m 1'
_symmetry_Int_Tables_number 10
_cell_length_a 7.795
_cell_length_b 4.504
_cell_length_c 7.795
_cell_angle_alpha 90.00
_cell_angle_beta 109.47
_cell_angle_gamma 90.00
loop_
_symmetry_equiv_pos_as_xyz
'x,y,z'
'-x,-y,-z'
'-x,y,-z'
'x,-y,z'
loop_
_atom_site_label
_atom_site_type_symbol
_atom_site_fract_x
_atom_site_fract_y
_atom_site_fract_z
Tb1 Tb 0.000 0.000 0.000
Sm1 Sm 0.000 0.500 0.500
Dy1 Dy 0.500 0.000 0.500
Dy2 Dy 0.500 0.500 0.000
Bi1 Bi 0.253 0.500 0.249
Bi2 Bi 0.254 0.000 0.753
```

The formation energy from the elements comes out at -0.88 eV/atom. The density comes out at 9.5 g cm⁻³.


6.
This record from the Alexandria database describes a relaxed structure of Tb2SmDy3Bi6. The functional is GGA-PBE.

Structure (CIF):
```
data_Tb2SmDy3Bi6
_chemical_formula_sum 'Tb4 Sm2 Dy6 Bi12'
_symmetry_space_group_name_H-M 'C 1 2/m 1'
_symmetry_Int_Tables_number 12
_cell_length_a 19.587
_cell_length_b 4.495
_cell_length_c 8.990
_cell_angle_alpha 90.00
_cell_angle_beta 103.20
_cell_angle_gamma 90.00
loop_
_symmetry_equiv_pos_as_xyz
'x,y,z'
'-x,-y,-z'
'-x,y,-z'
'x,-y,z'
'x+1/2,y+1/2,z'
'-x+1/2,-y+1/2,-z'
'-x+1/2,y+1/2,-z'
'x+1/2,-y+1/2,z'
loop_
_atom_site_label
_atom_site_type_symbol
_atom_site_fract_x
_atom_site_fract_y
_atom_site_fract_z
Tb1 Tb 0.167 0.000 0.333
Sm1 Sm 0.000 0.500 0.000
Dy1 Dy 0.000 0.500 0.500
Dy2 Dy 0.166 0.000 0.833
Bi1 Bi 0.000 0.000 0.254
Bi2 Bi 0.166 0.500 0.584
Bi3 Bi 0.168 0.500 0.083
```

The formation energy from the elements comes out at -0.88 eV/atom. The density comes out at 9.5 g cm⁻³.


Taking the records one at a time from the top gives magnetic moment values of 0.00; 0.00; 0.00; 0.00; 0.00; 0.00 μB/atom.
Taking the records one at a time from the top gives D(E_F) values of 2.10; 4.36; 2.00; 1.24; 1.24; 2.00 states/eV/f.u..